1.
# ScBe9Fe2

ScBe9Fe2 after structural relaxation (PBE, Alexandria).

E (eV/atom): -4.958
Symmetry: R-3m
Calculated volume (Å³/atom): 9.30
Spin magnetization (μB per formula unit): 3.4
DFT formation energy (meV/atom): -226

abc: 4.314 4.314 7.358
angles: 72.95 72.95 60.00
Fractional coordinates of all 12 atoms:
Be 0.500 0.500 0.500
Be 0.333 0.333 0.000
Be 0.083 0.590 0.737
Be 0.590 0.083 0.737
Be 0.917 0.410 0.263
Be 0.590 0.590 0.737
Be 0.667 0.667 0.000
Be 0.410 0.917 0.263
Be 0.410 0.410 0.263
Sc 0.000 0.000 0.000
Fe 0.854 0.854 0.437
Fe 0.146 0.146 0.563

=====

2.
# DyThRe4

DyThRe4 after structural relaxation (PBE, Alexandria).

E (eV/atom): -10.449
Symmetry: P-3m1
Calculated volume (Å³/atom): 19.30
Spin magnetization (μB per formula unit): 0.0
DFT formation energy (meV/atom): -147

abc: 5.412 5.412 9.131
angles: 90.00 90.00 120.00
Fractional coordinates of all 12 atoms:
Re 0.830 0.170 0.259
Re 0.659 0.830 0.741
Re 0.830 0.659 0.259
Re 0.000 0.000 0.500
Re 0.341 0.170 0.259
Re 0.000 0.000 0.000
Re 0.170 0.830 0.741
Re 0.170 0.341 0.741
Dy 0.667 0.333 0.563
Dy 0.333 0.667 0.437
Th 0.333 0.667 0.060
Th 0.667 0.333 0.940

=====

3.
# Er2PbAu

Er2PbAu after structural relaxation (PBE, Alexandria).

E (eV/atom): -4.610
Symmetry: P4/mmm
Calculated volume (Å³/atom): 25.23
Spin magnetization (μB per formula unit): 0.0
DFT formation energy (meV/atom): -582

abc: 3.871 5.106 5.106
angles: 90.00 90.00 90.00
Fractional coordinates of all 4 atoms:
Er 0.000 0.000 0.500
Er 0.000 0.500 0.000
Pb 0.500 0.000 0.000
Au 0.500 0.500 0.500

=====

4.
# CaScAlAu

CaScAlAu after structural relaxation (PBE, Alexandria).

E (eV/atom): -4.300
Symmetry: F-43m
Calculated volume (Å³/atom): 22.03
Spin magnetization (μB per formula unit): 0.0
DFT formation energy (meV/atom): -462

abc: 4.995 4.995 4.995
angles: 60.00 60.00 60.00
Fractional coordinates of all 4 atoms:
Al 0.000 0.000 0.000
Au 0.500 0.500 0.500
Sc 0.750 0.750 0.750
Ca 0.250 0.250 0.250

=====

5.
# ZnInPb

ZnInPb after structural relaxation (PBE, Alexandria).

E (eV/atom): -2.460
Symmetry: F-43m
Calculated volume (Å³/atom): 26.82
Spin magnetization (μB per formula unit): 0.0
DFT formation energy (meV/atom): 114

abc: 4.846 4.846 4.846
angles: 60.00 60.00 60.00
Fractional coordinates of all 3 atoms:
In 0.000 0.000 0.000
Pb 0.500 0.500 0.500
Zn 0.750 0.750 0.750

=====

6.
# GdZr3F15

GdZr3F15 after structural relaxation (PBE, Alexandria).

E (eV/atom): -7.336
Symmetry: P-1
Calculated volume (Å³/atom): 14.02
Spin magnetization (μB per formula unit): 6.9
Formation energy from raw total energies (meV per atom): -3768

abc: 8.255 8.259 16.522
angles: 100.26 100.14 100.16
Fractional coordinates of all 76 atoms:
F 0.774 0.011 0.388
F 0.997 0.211 0.606
F 0.681 0.035 0.579
F 0.055 0.157 0.344
F 0.783 0.777 0.000
F 0.780 0.002 0.888
F 0.655 0.539 0.093
F 0.504 0.274 0.640
F 0.446 0.807 0.675
F 0.220 0.998 0.112
F 0.452 0.743 0.013
F 0.854 0.319 0.465
F 0.276 0.279 0.254
F 0.227 0.225 0.495
F 0.004 0.768 0.885
F 0.431 0.820 0.175
F 0.773 0.775 0.505
F 0.689 0.069 0.075
F 0.175 0.661 0.267
F 0.226 0.989 0.612
F 0.963 0.850 0.161
F 0.747 0.028 0.733
F 0.025 0.457 0.364
F 0.496 0.724 0.861
F 0.190 0.648 0.780
F 0.548 0.257 0.987
F 0.275 0.503 0.640
F 0.242 0.948 0.763
F 0.146 0.681 0.535
F 0.217 0.223 0.000
F 0.724 0.724 0.251
F 0.965 0.537 0.118
F 0.725 0.497 0.360
F 0.003 0.789 0.394
F 0.850 0.311 0.973
F 0.651 0.564 0.593
F 0.037 0.150 0.839
F 0.724 0.491 0.863
F 0.470 0.754 0.525
F 0.150 0.689 0.027
F 0.035 0.463 0.882
F 0.569 0.180 0.825
F 0.758 0.052 0.237
F 0.311 0.931 0.925
F 0.319 0.965 0.421
F 0.276 0.276 0.749
F 0.975 0.543 0.636
F 0.530 0.246 0.475
F 0.996 0.232 0.115
F 0.253 0.972 0.267
F 0.276 0.509 0.137
F 0.724 0.721 0.746
F 0.945 0.843 0.656
F 0.554 0.193 0.325
F 0.825 0.339 0.733
F 0.496 0.726 0.360
F 0.345 0.461 0.907
F 0.810 0.352 0.220
F 0.504 0.276 0.139
F 0.349 0.436 0.407
Zr 0.748 0.746 0.874
Zr 0.823 0.256 0.337
Zr 0.755 0.326 0.088
Zr 0.250 0.244 0.623
Zr 0.677 0.820 0.627
Zr 0.252 0.254 0.126
Zr 0.175 0.753 0.160
Zr 0.323 0.180 0.373
Zr 0.825 0.247 0.840
Zr 0.177 0.744 0.663
Zr 0.245 0.674 0.912
Zr 0.750 0.756 0.377
Gd 0.751 0.320 0.588
Gd 0.676 0.825 0.125
Gd 0.249 0.680 0.412
Gd 0.324 0.175 0.875

=====

7.
# BeTl2Ge

BeTl2Ge after structural relaxation (PBE, Alexandria).

E (eV/atom): -2.893
Symmetry: I-42d
Calculated volume (Å³/atom): 25.79
Spin magnetization (μB per formula unit): 0.0
DFT formation energy (meV/atom): 376

abc: 9.859 9.859 7.288
angles: 47.43 47.43 90.00
Fractional coordinates of all 8 atoms:
Ge 0.750 0.250 0.500
Ge 0.000 0.000 0.000
Tl 0.251 0.625 0.250
Tl 0.875 0.749 0.750
Tl 0.375 0.501 0.750
Tl 0.499 0.125 0.250
Be 0.500 0.500 0.000
Be 0.250 0.750 0.500

=====

8.
# LiGe2BSe6

LiGe2BSe6 after structural relaxation (PBE, Alexandria).

E (eV/atom): -4.127
Symmetry: C2/c
Calculated volume (Å³/atom): 26.55
Spin magnetization (μB per formula unit): 0.0
Formation energy from raw total energies (meV per atom): -254

abc: 6.882 9.234 9.234
angles: 86.90 72.13 72.13
Fractional coordinates of all 20 atoms:
Se 0.452 0.816 0.333
Se 0.952 0.333 0.816
Se 0.831 0.011 0.183
Se 0.055 0.711 0.577
Se 0.945 0.289 0.423
Se 0.669 0.817 0.989
Se 0.445 0.423 0.289
Se 0.555 0.577 0.711
Se 0.548 0.184 0.667
Se 0.169 0.989 0.817
Se 0.331 0.183 0.011
Se 0.048 0.667 0.184
Li 0.250 0.904 0.096
Li 0.750 0.096 0.904
B 0.750 0.808 0.192
B 0.250 0.192 0.808
Ge 0.653 0.209 0.390
Ge 0.847 0.610 0.791
Ge 0.153 0.390 0.209
Ge 0.347 0.791 0.610

=====

Copy entry 3 word for word.
# Er2PbAu

Er2PbAu after structural relaxation (PBE, Alexandria).

E (eV/atom): -4.610
Symmetry: P4/mmm
Calculated volume (Å³/atom): 25.23
Spin magnetization (μB per formula unit): 0.0
DFT formation energy (meV/atom): -582

abc: 3.871 5.106 5.106
angles: 90.00 90.00 90.00
Fractional coordinates of all 4 atoms:
Er 0.000 0.000 0.500
Er 0.000 0.500 0.000
Pb 0.500 0.000 0.000
Au 0.500 0.500 0.500